Below is Sm8Dy6Tm after structural relaxation, with properties calculated at the PBE level.

```
Sm8Dy6Tm
1.0
-5.669 -6.833 1.951
-4.310 -4.384 -6.697
1.926 -8.223 -2.027
Sm Dy Tm
8 6 1
Cartesian
-1.517 -7.714 -2.570
-3.746 -8.857 -0.198
-3.054 -7.505 -5.652
-5.249 -8.677 -3.283
-2.805 -10.763 -3.490
-4.999 -11.936 -1.120
-4.307 -10.584 -6.574
-6.536 -11.727 -4.202
-4.794 -14.338 -6.921
-1.375 -2.716 -1.668
-3.470 -4.999 -3.385
-4.583 -14.442 -3.387
-6.678 -16.724 -5.104
-3.259 -5.103 0.149
0.000 0.000 0.000
```

raw total energy	-4.5327	eV/atom
energy relative to the lowest polymorph listed for this composition	0.000	eV per atom
energy relative to the elements	0.1232	eV/atom